Record 1
Compound: TeSe2O
Source: Alexandria via LeMat-Bulk
Functional: PBE
Structure: relaxed

Unit cell a=4.2385 b=4.2385 c=19.0201 alpha=90.00 beta=90.00 gamma=120.00
Space group R-3m (No. 166, hexagonal axes)
Symmetry-distinct sites (fractional):
Te1 0.0000 0.0000 0.0000
Se1 0.0000 0.0000 0.1461
O1 0.0000 0.0000 0.5000

Output
* Fermi-level density of states: 7.1 states/eV per cell
* ΔE to the lowest computed polymorph: 414.1 meV per atom

***

Record 2
Compound: TeSe3O
Source: Alexandria via LeMat-Bulk
Functional: PBE
Structure: relaxed

Unit cell a=4.388 b=5.758 c=5.854 alpha=92.63 beta=107.19 gamma=93.59
Space group P1 (No. 1)
Symmetry-distinct sites (fractional):
Te1 0.000 0.000 0.000
Se1 0.154 0.824 0.631
Se2 0.645 0.348 0.820
Se3 0.772 0.490 0.486
O1 0.414 0.139 0.142

Output
* ΔE to the lowest computed polymorph: 83.6 meV per atom

***

Record 3
Compound: Tl2TeSeO6
Source: Alexandria via LeMat-Bulk
Functional: PBE
Structure: relaxed

Unit cell a=5.558 b=5.558 c=10.735 alpha=90.00 beta=90.00 gamma=90.00
Space group I4/mmm (No. 139)
Symmetry-distinct sites (fractional):
Tl1 0.000 0.500 0.250
Te1 0.000 0.000 0.000
Se1 0.000 0.000 0.500
O1 0.000 0.000 0.176
O2 0.243 0.243 0.500

Output
* Fermi-level density of states: 2.3 states/eV per cell

***

| no. | DFT total energy (eV/f.u.) | uncorrected formation energy (eV per atom) |
| --- | --- | --- |
| 1 | -13.0 | 0.52 |
| 2 | -19.2 | -0.13 |
| 3 | -47.1 | -0.60 |